Entry 1:
! Sm2ErZr GGA-PBE optimized geometry; values from VASP
&SYSTEM
  ibrav = 0, nat = 4, ntyp = 3
/
ATOMIC_SPECIES
Sm 150.36 Sm.upf
Er 167.26 Er.upf
Zr 91.22 Zr.upf
CELL_PARAMETERS angstrom
4.050 0.000 0.000
0.000 4.050 0.000
0.000 0.000 7.248
ATOMIC_POSITIONS crystal
Sm 0.000 0.000 0.226
Sm 0.000 0.000 0.774
Er 0.500 0.500 0.500
Zr 0.500 0.500 0.000
! Crystal system: tetragonal
! Energy above the lowest structure with this stoichiometry: 0.25 eV/f.u.
! Energy: -21.9 eV/f.u.



Entry 2:
! Sm4Er6Zr GGA-PBE optimized geometry; values from VASP
&SYSTEM
  ibrav = 0, nat = 22, ntyp = 3
/
ATOMIC_SPECIES
Sm 150.36 Sm.upf
Er 167.26 Er.upf
Zr 91.22 Zr.upf
CELL_PARAMETERS angstrom
8.661 0.000 0.000
0.000 8.661 0.000
0.000 0.000 9.056
ATOMIC_POSITIONS crystal
Sm 0.145 0.355 0.250
Sm 0.145 0.355 0.750
Sm 0.355 0.855 0.250
Sm 0.355 0.855 0.750
Sm 0.645 0.145 0.250
Sm 0.645 0.145 0.750
Sm 0.855 0.645 0.250
Sm 0.855 0.645 0.750
Er 0.000 0.000 0.174
Er 0.000 0.000 0.826
Er 0.153 0.656 0.500
Er 0.156 0.653 0.000
Er 0.344 0.153 0.500
Er 0.347 0.156 0.000
Er 0.500 0.500 0.326
Er 0.500 0.500 0.674
Er 0.653 0.844 0.000
Er 0.656 0.847 0.500
Er 0.844 0.347 0.000
Er 0.847 0.344 0.500
Zr 0.000 0.000 0.500
Zr 0.500 0.500 0.000
! Crystal system: tetragonal
! Energy: -53.2 eV/f.u.



Entry 3:
! Sm2Er8Zr GGA-PBE optimized geometry; values from VASP
&SYSTEM
  ibrav = 0, nat = 11, ntyp = 3
/
ATOMIC_SPECIES
Sm 150.36 Sm.upf
Er 167.26 Er.upf
Zr 91.22 Zr.upf
CELL_PARAMETERS angstrom
8.233 -3.235 0.000
8.233 3.235 0.000
-1.409 0.000 6.411
ATOMIC_POSITIONS crystal
Sm 0.186 0.186 0.315
Sm 0.814 0.814 0.685
Er 0.176 0.663 0.111
Er 0.244 0.244 0.828
Er 0.337 0.824 0.889
Er 0.409 0.409 0.586
Er 0.591 0.591 0.414
Er 0.663 0.176 0.111
Er 0.756 0.756 0.172
Er 0.824 0.337 0.889
Zr 0.000 0.000 0.500
! Crystal system: monoclinic
! Energy: -52.3 eV/f.u.



Entry 4:
! SmErZr GGA-PBE optimized geometry; values from VASP
&SYSTEM
  ibrav = 0, nat = 3, ntyp = 3
/
ATOMIC_SPECIES
Sm 150.36 Sm.upf
Er 167.26 Er.upf
Zr 91.22 Zr.upf
CELL_PARAMETERS angstrom
3.423 0.000 0.000
-1.711 2.964 0.000
0.000 0.000 8.441
ATOMIC_POSITIONS crystal
Sm 0.000 0.000 0.000
Er 0.333 0.667 0.630
Zr 0.667 0.333 0.319
! Crystal system: trigonal
! Energy above the lowest structure with this stoichiometry: 0.03 eV/f.u.
! Energy: -17.5 eV/f.u.



Number 1: ρ 7.812 g/cm3. Number 2: ρ 8.294 g/cm3. Number 3: ρ 8.413 g/cm3. Number 4: ρ 7.927 g/cm3.